10
Lattice="9.182 -1.974 0.000 9.182 1.974 0.000 -1.998 0.000 8.117" Properties=species:S:1:pos:R:3 comment="La2Sm2CBr5 (PBE-GGA, optimized geometry)" magmom_total_mub_per_cell=0.4 final_energy_ev_per_cell=-51.5 density_g_cm3=5.59 spacegroup="C2/m, No. 12" pbc="T T T"
Br 14.923 0.000 1.512
Br 2.255 0.000 2.891
Br 8.183 0.000 4.059
Br 14.112 0.000 5.226
Br 1.443 0.000 6.606
C 9.182 0.000 0.000
La 11.680 0.000 0.638
La 4.686 0.000 7.479
Sm 17.943 0.000 1.651
Sm -1.577 0.000 6.466


8
Lattice="3.753 0.000 0.000 -1.876 3.250 0.000 0.000 0.000 13.245" Properties=species:S:1:pos:R:3 comment="GdTmCSe (PBE-GGA, optimized geometry)" magmom_total_mub_per_cell=0.0 final_energy_ev_per_cell=-52.8 density_g_cm3=8.58 spacegroup="P6_3mc, No. 186" pbc="T T T"
C 0.000 0.000 0.033
C 0.000 0.000 6.656
Gd 0.000 2.167 5.305
Gd 1.876 1.083 11.928
Se 1.876 1.083 3.261
Se 0.000 2.167 9.883
Tm 0.000 2.167 1.334
Tm 1.876 1.083 7.957


4
Lattice="4.358 1.049 0.213 1.285 3.891 1.830 2.110 0.029 3.960" Properties=species:S:1:pos:R:3 comment="TaNb2Fe (PBE-GGA, optimized geometry)" magmom_total_mub_per_cell=0.2 final_energy_ev_per_cell=-40.3 formation_energy_ev_per_atom=0.005 density_g_cm3=10.98 spacegroup="F-43m, No. 216" pbc="T T T"
Fe 1.938 1.242 1.501
Nb 0.000 0.000 0.000
Nb 5.815 3.726 4.502
Ta 3.876 2.484 3.001


24
Lattice="-3.030 -3.345 6.636 6.737 -4.071 4.796 0.879 5.949 7.922" Properties=species:S:1:pos:R:3 comment="NbCl4F (PBE-GGA, optimized geometry)" magmom_total_mub_per_cell=0.0 final_energy_ev_per_cell=-115.7 density_g_cm3=2.64 spacegroup="P-1, No. 2" pbc="T T T"
Cl 1.666 -3.623 7.456
Cl 1.979 -0.505 2.849
Cl -0.278 -1.466 5.635
Cl 5.274 -3.144 7.820
Cl 3.050 -4.049 10.646
Cl 3.430 -0.820 6.146
Cl 0.367 -0.799 8.924
Cl 1.038 1.897 5.415
Cl 3.548 -3.363 13.939
Cl 4.219 -0.668 10.430
Cl 1.156 -0.646 13.208
Cl 1.536 2.583 8.709
Cl -0.688 1.677 11.534
Cl 4.864 0.000 13.720
Cl 2.607 -0.962 16.505
Cl 2.920 2.156 11.899
F 4.946 -3.285 4.891
F -2.331 -1.877 7.702
F 6.917 0.410 11.652
F -0.360 1.818 14.463
Nb -0.342 -2.573 7.680
Nb 5.553 -1.640 6.075
Nb -0.967 0.173 13.279
Nb 4.928 1.106 11.674


4
Lattice="-0.580 -1.387 4.181 -3.470 1.456 2.363 -3.337 -2.765 0.980" Properties=species:S:1:pos:R:3 comment="LiAlSiAu (PBE-GGA, optimized geometry)" de_polymorph_mev_per_atom=0.0 final_energy_ev_per_cell=-15.1 density_g_cm3=6.93 spacegroup="F-43m, No. 216" pbc="T T T"
Al -1.847 -0.674 1.881
Au 0.000 0.000 0.000
Li -5.541 -2.022 5.643
Si -3.694 -1.348 3.762


4
Lattice="2.700 -1.676 2.938 -0.506 -4.091 1.319 2.868 -3.021 -1.171" Properties=species:S:1:pos:R:3 comment="BeGaW2 (PBE-GGA, optimized geometry)" magmom_total_mub_per_cell=0.0 final_energy_ev_per_cell=-31.5 density_g_cm3=12.94 spacegroup="F-43m, No. 216" pbc="T T T"
Be 1.266 -2.197 0.771
Ga 2.531 -4.394 1.543
W 0.000 0.000 0.000
W 3.797 -6.591 2.314


8
Lattice="-1.856 2.561 -1.841 -5.070 -2.150 2.120 0.463 4.182 5.348" Properties=species:S:1:pos:R:3 comment="TbSiPO (PBE-GGA, optimized geometry)" de_polymorph_mev_per_atom=0.0 magmom_total_mub_per_cell=0.0 final_energy_ev_per_cell=-52.9 density_g_cm3=5.29 spacegroup="Pmc2_1, No. 26" pbc="T T T"
O -1.017 0.732 2.044
O -3.551 1.651 5.874
P -4.583 1.328 2.829
P -1.740 4.526 4.411
Si -1.854 -0.476 1.207
Si -2.912 1.068 4.420
Tb -1.933 2.780 2.178
Tb -4.314 3.763 5.944


8
Lattice="-0.686 -0.577 -3.103 -1.202 -1.918 2.303 -10.087 7.359 0.862" Properties=species:S:1:pos:R:3 comment="Ta4CuAsC2 (PBE-GGA, optimized geometry)" magmom_total_mub_per_cell=0.0 final_energy_ev_per_cell=-77.4 density_g_cm3=13.02 spacegroup="P-6m2, No. 187" pbc="T T T"
As -1.030 -1.471 0.501
C -2.503 1.826 0.214
C -7.585 5.533 0.648
Cu -5.902 2.656 -0.870
Ta -2.388 0.092 -1.170
Ta -4.451 1.025 0.794
Ta -7.697 3.392 1.071
Ta -9.416 5.219 -0.569


8
Lattice="3.951 0.000 0.000 0.000 3.951 0.000 0.000 0.000 7.990" Properties=species:S:1:pos:R:3 comment="TbHoP2Ir2O2 (PBE-GGA, optimized geometry)" magmom_total_mub_per_cell=0.0 final_energy_ev_per_cell=-63.5 density_g_cm3=10.68 spacegroup="P4mm, No. 99" pbc="T T T"
Ho 0.000 0.000 1.074
Ir 1.975 0.000 3.992
Ir 0.000 1.975 3.992
O 1.975 0.000 0.015
O 0.000 1.975 0.015
P 1.975 1.975 2.677
P 0.000 0.000 5.309
Tb 1.975 1.975 6.895


4
Lattice="-3.802 -1.786 1.991 -0.701 0.532 4.565 -3.370 2.818 1.521" Properties=species:S:1:pos:R:3 comment="BaHfCo2 (PBE-GGA, optimized geometry)" magmom_total_mub_per_cell=2.0 final_energy_ev_per_cell=-22.4 density_g_cm3=10.14 spacegroup="F-43m, No. 216" pbc="T T T"
Ba -3.937 0.782 4.038
Co 0.000 0.000 0.000
Co -5.905 1.173 6.058
Hf -1.968 0.391 2.019


10
Lattice="-1.399 -0.748 4.346 3.034 -3.472 0.379 7.577 7.022 3.649" Properties=species:S:1:pos:R:3 comment="SrAlInAu2 (PBE-GGA, optimized geometry)" final_energy_ev_per_cell=-35.6 density_g_cm3=8.83 spacegroup="P4/nmm, No. 129" pbc="T T T"
Al 2.354 -0.961 0.593
Al 6.041 5.872 5.419
Au 0.000 0.000 0.000
Au 0.817 -2.110 2.363
Au 4.091 0.649 1.429
Au 4.304 4.262 4.582
In 3.789 3.511 1.824
In 4.606 1.401 4.187
Sr 1.117 1.309 3.048
Sr 7.278 3.602 2.964


2
Lattice="-1.866 2.885 0.067 -1.211 -2.794 -1.594 -2.292 -1.588 4.525" Properties=species:S:1:pos:R:3 comment="Pu (PBE-GGA, optimized geometry)" de_polymorph_mev_per_atom=151.9 magmom_total_mub_per_cell=11.7 final_energy_ev_per_cell=-27.9 formation_energy_ev_per_atom=0.152 density_g_cm3=14.90 spacegroup="P6_3/mmc, No. 194" pbc="T T T"
Pu -2.003 -1.298 0.091
Pu -3.367 -0.199 2.907


3
Lattice="-1.786 -3.854 2.458 -3.718 0.604 3.146 -4.449 -1.760 -1.092" Properties=species:S:1:pos:R:3 comment="SmTmMo (PBE-GGA, optimized geometry)" de_polymorph_mev_per_atom=0.0 magmom_total_mub_per_cell=1.8 final_energy_ev_per_cell=-16.4 formation_energy_ev_per_atom=1.198 density_g_cm3=8.25 spacegroup="F-43m, No. 216" pbc="T T T"
Mo -2.488 -1.252 1.128
Sm -7.465 -3.757 3.384
Tm 0.000 0.000 0.000


3
Lattice="0.000 3.812 3.812 3.812 0.000 3.812 3.812 3.812 0.000" Properties=species:S:1:pos:R:3 comment="LaPrSc (PBE-GGA, optimized geometry)" de_polymorph_mev_per_atom=0.0 magmom_total_mub_per_cell=0.1 final_energy_ev_per_cell=-14.2 formation_energy_ev_per_atom=0.617 density_g_cm3=4.87 spacegroup="F-43m, No. 216" pbc="T T T"
La 1.906 1.906 1.906
Pr 5.719 5.719 5.719
Sc 0.000 0.000 0.000


3
Lattice="0.000 3.564 3.564 3.564 0.000 3.564 3.564 3.564 0.000" Properties=species:S:1:pos:R:3 comment="NdGdZn (PBE-GGA, optimized geometry)" de_polymorph_mev_per_atom=0.0 magmom_total_mub_per_cell=0.1 final_energy_ev_per_cell=-10.6 formation_energy_ev_per_atom=0.026 density_g_cm3=6.73 spacegroup="F-43m, No. 216" pbc="T T T"
Gd 1.782 1.782 1.782
Nd 5.347 5.347 5.347
Zn 0.000 0.000 0.000


8
Lattice="2.688 -8.559 0.000 2.688 8.559 0.000 0.000 0.000 4.997" Properties=species:S:1:pos:R:3 comment="SrGdGe2 (PBE-GGA, optimized geometry)" magmom_total_mub_per_cell=0.0 final_energy_ev_per_cell=-33.3 density_g_cm3=5.64 spacegroup="Cmcm, No. 63" pbc="T T T"
Gd 2.688 2.156 1.249
Gd 2.688 -2.156 3.748
Ge 2.688 -8.005 1.249
Ge 2.688 -4.100 1.249
Ge 2.688 4.100 3.748
Ge 2.688 8.005 3.748
Sr 2.688 5.977 1.249
Sr 2.688 -5.977 3.748


8
Lattice="-0.298 2.954 -0.841 -2.266 -2.009 -0.593 -5.643 2.836 11.961" Properties=species:S:1:pos:R:3 comment="CdCuMo4C2 (PBE-GGA, optimized geometry)" magmom_total_mub_per_cell=0.0 final_energy_ev_per_cell=-65.6 density_g_cm3=8.69 spacegroup="P-6m2, No. 187" pbc="T T T"
C -3.102 0.395 2.487
C -5.761 1.732 8.123
Cd 0.000 0.000 0.000
Cu -3.776 2.718 5.222
Mo -1.981 1.816 1.419
Mo -1.967 0.989 4.169
Mo -3.676 1.848 7.792
Mo -5.570 3.619 9.025


5
Lattice="5.833 -1.865 0.000 5.833 1.865 0.000 -3.282 0.000 5.251" Properties=species:S:1:pos:R:3 comment="Th2Al2Pd (PBE-GGA, optimized geometry)" magmom_total_mub_per_cell=0.0 final_energy_ev_per_cell=-30.4 density_g_cm3=9.08 spacegroup="Immm, No. 71" pbc="T T T"
Al 10.737 0.000 1.484
Al -2.352 0.000 3.767
Pd 5.833 0.000 0.000
Th 2.310 0.000 1.447
Th 6.074 0.000 3.804


6
Lattice="4.104 0.000 0.000 0.000 5.392 0.000 0.000 0.000 8.792" Properties=species:S:1:pos:R:3 comment="Tb2S2ICl (PBE-GGA, optimized geometry)" magmom_total_mub_per_cell=0.0 final_energy_ev_per_cell=-32.9 density_g_cm3=4.65 spacegroup="Pmm2, No. 25" pbc="T T T"
Cl 0.000 0.000 5.807
I 2.052 2.696 3.317
S 0.000 0.000 0.621
S 2.052 2.696 8.020
Tb 0.000 2.696 1.059
Tb 2.052 0.000 7.553


4
Lattice="-4.417 -1.725 -0.074 -3.701 2.945 0.336 -2.778 0.757 -3.768" Properties=species:S:1:pos:R:3 comment="NaTlSiPd (PBE-GGA, optimized geometry)" de_polymorph_mev_per_atom=0.0 final_energy_ev_per_cell=-14.0 density_g_cm3=7.97 spacegroup="F-43m, No. 216" pbc="T T T"
Na -8.172 1.483 -2.629
Pd -2.724 0.494 -0.876
Si 0.000 0.000 0.000
Tl -5.448 0.989 -1.753


2
Lattice="-3.761 -1.932 -0.768 -3.554 1.340 2.011 -3.065 2.061 -2.197" Properties=species:S:1:pos:R:3 comment="TmCd (PBE-GGA, optimized geometry)" magmom_total_mub_per_cell=0.0 final_energy_ev_per_cell=-5.2 formation_energy_ev_per_atom=0.062 density_g_cm3=8.33 spacegroup="Fm-3m, No. 225" pbc="T T T"
Cd 0.000 0.000 0.000
Tm -5.190 0.734 -0.477


3
Lattice="0.000 3.907 3.907 3.907 0.000 3.907 3.907 3.907 0.000" Properties=species:S:1:pos:R:3 comment="KNdBi (PBE-GGA, optimized geometry)" magmom_total_mub_per_cell=0.0 final_energy_ev_per_cell=-10.7 density_g_cm3=5.46 spacegroup="F-43m, No. 216" pbc="T T T"
Bi 0.000 0.000 0.000
K 1.954 1.954 1.954
Nd 5.861 5.861 5.861


8
Lattice="4.167 0.000 0.000 0.000 7.641 0.000 0.000 0.000 5.772" Properties=species:S:1:pos:R:3 comment="DyPaPO (PBE-GGA, optimized geometry)" de_polymorph_mev_per_atom=37.0 magmom_total_mub_per_cell=2.1 final_energy_ev_per_cell=-59.6 density_g_cm3=7.96 spacegroup="Pmc2_1, No. 26" pbc="T T T"
Dy 0.000 4.696 2.777
Dy 0.000 2.945 5.663
O 0.000 2.493 2.219
O 0.000 5.149 5.105
P 2.084 6.428 2.576
P 2.084 1.214 5.462
Pa 2.084 1.537 2.553
Pa 2.084 6.105 5.439


8
Lattice="3.467 0.000 0.000 0.000 7.505 0.000 0.000 0.000 5.843" Properties=species:S:1:pos:R:3 comment="LiErAsO (PBE-GGA, optimized geometry)" de_polymorph_mev_per_atom=127.6 magmom_total_mub_per_cell=0.0 final_energy_ev_per_cell=-46.3 density_g_cm3=5.79 spacegroup="Pmc2_1, No. 26" pbc="T T T"
As 0.000 6.086 2.335
As 0.000 1.418 5.257
Er 0.000 1.451 2.358
Er 0.000 6.053 5.280
Li 1.734 3.329 0.406
Li 1.734 4.176 3.328
O 1.734 2.619 2.228
O 1.734 4.886 5.150


8
Lattice="-2.376 -0.186 -2.523 2.466 -2.430 0.244 -7.984 -7.294 8.054" Properties=species:S:1:pos:R:3 comment="Lu4ZnPN2 (PBE-GGA, optimized geometry)" magmom_total_mub_per_cell=0.0 final_energy_ev_per_cell=-51.0 density_g_cm3=9.73 spacegroup="P-6m2, No. 187" pbc="T T T"
Lu -1.855 -1.933 -0.498
Lu -2.657 -2.427 2.680
Lu -5.327 -4.867 5.374
Lu -7.652 -7.229 5.351
N -1.013 -3.386 1.203
N -5.266 -7.272 5.494
P 0.000 0.000 0.000
Zn -4.753 -4.581 2.426


4
Lattice="-3.370 -3.593 0.007 -4.559 0.902 1.634 -3.768 0.151 -3.170" Properties=species:S:1:pos:R:3 comment="LaBeInPt (PBE-GGA, optimized geometry)" de_polymorph_mev_per_atom=191.0 magmom_total_mub_per_cell=0.0 final_energy_ev_per_cell=-18.1 density_g_cm3=8.99 spacegroup="F-43m, No. 216" pbc="T T T"
Be -8.773 -1.905 -1.147
In 0.000 0.000 0.000
La -2.924 -0.635 -0.382
Pt -5.849 -1.270 -0.765


9
Lattice="8.271 0.000 0.000 -4.136 7.163 0.000 0.000 0.000 4.240" Properties=species:S:1:pos:R:3 comment="Y3Er3Bi2Os (PBE-GGA, optimized geometry)" de_polymorph_mev_per_atom=0.0 magmom_total_mub_per_cell=0.0 final_energy_ev_per_cell=-57.6 density_g_cm3=9.10 spacegroup="P-62m, No. 189" pbc="T T T"
Bi 4.136 2.388 0.000
Bi 0.000 4.776 0.000
Er 6.359 0.000 0.000
Er 0.956 1.656 0.000
Er -3.179 5.507 0.000
Os 0.000 0.000 2.120
Y 3.217 0.000 2.120
Y -1.609 2.786 2.120
Y 2.527 4.377 2.120